(w)
Ac2Sm2Tm (GGA-PBE, optimized geometry); crystal system = monoclinic; size of the total moment = 0.0 μB per formula unit
1.0
6.605 0.000 0.000
-3.303 7.921 -2.269
0.000 0.160 7.141
Ac Sm Tm
4 4 2
Direct
0.607 0.390 0.652
0.217 0.610 0.848
0.393 0.610 0.348
0.783 0.390 0.152
0.822 0.812 0.051
0.010 0.188 0.449
0.178 0.188 0.949
0.990 0.812 0.551
0.589 0.000 0.750
0.411 0.000 0.250


(x)
Ac2Sm2Tm (GGA-PBE, optimized geometry); crystal system = tetragonal; size of the total moment = 0.0 μB per formula unit
1.0
4.915 0.000 0.000
0.000 4.915 0.000
-2.457 -2.457 8.327
Ac Sm Tm
2 2 1
Direct
0.750 0.250 0.500
0.250 0.750 0.500
0.409 0.409 0.819
0.591 0.591 0.181
0.000 0.000 0.000


Here is how they stack up, most stable first: (w), (x).


(w)
AcSm3Tm2 (GGA-PBE, optimized geometry); crystal system = monoclinic; size of the total moment = 0.0 μB per formula unit
1.0
6.798 0.180 -0.217
-0.748 6.759 -0.217
1.535 1.760 8.767
Ac Sm Tm
2 6 4
Direct
0.935 0.065 0.250
0.065 0.935 0.750
0.815 0.635 0.517
0.365 0.185 0.983
0.185 0.365 0.483
0.635 0.815 0.017
0.595 0.405 0.250
0.405 0.595 0.750
0.126 0.615 0.124
0.385 0.874 0.376
0.874 0.385 0.876
0.615 0.126 0.624


(x)
AcSm3Tm2 (GGA-PBE, optimized geometry); crystal system = orthorhombic; size of the total moment = 0.0 μB per formula unit
1.0
-2.056 -2.848 0.055
3.517 -2.621 -4.303
4.905 -1.198 9.127
Ac Sm Tm
1 3 2
Direct
0.000 0.000 0.000
0.000 0.500 0.000
0.808 0.808 0.615
0.192 0.192 0.385
0.639 0.639 0.278
0.361 0.361 0.722


Here is how they stack up, most stable first: (w), (x).


(w)
AcSm4Tm5 (GGA-PBE, optimized geometry); crystal system = tetragonal; size of the total moment = 0.0 μB per formula unit
1.0
3.622 0.000 0.000
0.000 3.622 0.000
0.000 0.000 25.004
Ac Sm Tm
1 4 5
Direct
0.000 0.000 0.000
0.000 0.000 0.205
0.000 0.000 0.402
0.000 0.000 0.598
0.000 0.000 0.795
0.500 0.500 0.108
0.500 0.500 0.304
0.500 0.500 0.500
0.500 0.500 0.696
0.500 0.500 0.892


(x)
AcSm4Tm5 (GGA-PBE, optimized geometry); crystal system = monoclinic; size of the total moment = 0.0 μB per formula unit
1.0
3.509 0.000 -0.713
-0.139 11.221 -0.686
-0.050 0.419 8.753
Ac Sm Tm
1 4 5
Direct
0.500 0.000 0.000
0.655 0.250 0.310
0.970 0.258 0.940
0.345 0.750 0.690
0.030 0.742 0.060
0.173 0.543 0.346
0.178 0.944 0.355
0.822 0.056 0.645
0.500 0.500 0.000
0.827 0.457 0.654


Here is how they stack up, most stable first: (w), (x).


(w)
AcSm3Tm (GGA-PBE, optimized geometry); crystal system = monoclinic; size of the total moment = 0.0 μB per formula unit
1.0
4.947 0.001 0.000
-2.472 9.769 2.128
0.000 2.726 8.215
Ac Sm Tm
2 6 2
Direct
0.406 0.845 0.296
0.638 0.309 0.125
0.106 0.245 0.483
0.464 0.960 0.627
0.580 0.194 0.795
0.938 0.909 0.938
0.294 0.622 0.036
0.750 0.532 0.385
0.212 0.458 0.720
0.832 0.696 0.702


(x)
AcSm3Tm (GGA-PBE, optimized geometry); crystal system = trigonal; size of the total moment = 0.0 μB per formula unit
1.0
-1.957 1.339 5.791
-3.271 -4.228 3.253
8.041 -5.229 7.308
Ac Sm Tm
2 6 2
Direct
0.334 0.334 0.999
0.666 0.666 0.001
0.094 0.418 0.736
0.752 0.094 0.736
0.582 0.248 0.264
0.248 0.906 0.264
0.906 0.582 0.264
0.418 0.752 0.736
0.166 0.166 0.501
0.834 0.834 0.499


Here is how they stack up, most stable first: (w), (x).


(w)
AcSmTm3 (GGA-PBE, optimized geometry); crystal system = monoclinic; size of the total moment = 0.0 μB per formula unit
1.0
6.194 0.000 0.000
0.000 9.713 -0.681
0.000 -5.164 11.541
Ac Sm Tm
4 4 12
Direct
0.742 0.583 0.475
0.758 0.083 0.975
0.242 0.917 0.025
0.258 0.417 0.525
0.637 0.484 0.172
0.863 0.984 0.672
0.137 0.016 0.328
0.363 0.516 0.828
0.627 0.172 0.278
0.212 0.729 0.425
0.873 0.672 0.778
0.665 0.884 0.380
0.288 0.229 0.925
0.165 0.616 0.120
0.835 0.384 0.880
0.712 0.771 0.075
0.335 0.116 0.620
0.127 0.328 0.222
0.788 0.271 0.575
0.373 0.828 0.722


(x)
AcSmTm3 (GGA-PBE, optimized geometry); crystal system = monoclinic; size of the total moment = 0.0 μB per formula unit
1.0
6.360 0.000 0.000
0.000 8.681 -3.544
0.000 0.350 12.096
Ac Sm Tm
4 4 12
Direct
0.174 0.947 0.602
0.674 0.553 0.898
0.826 0.053 0.398
0.326 0.447 0.102
0.665 0.740 0.501
0.335 0.260 0.499
0.835 0.240 0.001
0.165 0.760 0.999
0.837 0.453 0.597
0.663 0.953 0.097
0.328 0.646 0.701
0.828 0.854 0.799
0.672 0.354 0.299
0.163 0.547 0.403
0.167 0.346 0.794
0.833 0.654 0.206
0.337 0.047 0.903
0.172 0.146 0.201
0.333 0.846 0.294
0.667 0.154 0.706


Here is how they stack up, most stable first: (x), (w).


(w)
AcSmYTm (GGA-PBE, optimized geometry); crystal system = cubic; size of the total moment = 0.0 μB per formula unit
1.0
5.847 0.000 0.000
2.924 5.064 0.000
2.924 1.688 4.774
Y Ac Tm Sm
1 1 1 1
Direct
0.000 0.000 0.000
0.750 0.750 0.750
0.500 0.500 0.500
0.250 0.250 0.250


(x)
AcSmYTm (GGA-PBE, optimized geometry); crystal system = trigonal; size of the total moment = 0.0 μB per formula unit
1.0
3.693 0.000 0.000
-1.845 3.197 0.003
-1.840 -1.075 11.885
Ac Sm Y Tm
1 1 1 1
Direct
0.968 0.382 0.366
0.479 0.137 0.632
0.128 0.962 0.104
0.303 0.549 0.868


Here is how they stack up, most stable first: (x), (w).


(w)
Ac2Sm4Y3 (GGA-PBE, optimized geometry); crystal system = monoclinic; size of the total moment = 0.0 μB per formula unit
1.0
-4.102 0.975 3.110
-4.649 -4.385 -0.344
3.033 -8.309 6.604
Ac Sm Y
2 4 3
Direct
0.334 0.333 0.777
0.666 0.667 0.223
0.666 0.668 0.888
0.000 0.999 0.337
0.000 0.001 0.663
0.334 0.332 0.112
0.336 0.327 0.445
0.000 0.000 0.000
0.664 0.673 0.555


(x)
Ac2Sm4Y3 (GGA-PBE, optimized geometry); crystal system = trigonal; size of the total moment = 0.0 μB per formula unit
1.0
-3.621 -0.053 -0.869
1.910 -3.190 0.218
-6.310 -1.975 26.402
Ac Sm Y
2 4 3
Direct
0.667 0.333 0.092
0.667 0.333 0.868
0.000 0.000 0.542
0.667 0.333 0.436
0.667 0.333 0.228
0.000 0.000 0.752
0.000 0.000 0.982
0.000 0.000 0.330
0.667 0.333 0.648


Here is how they stack up, most stable first: (w), (x).


(w)
AcSm7Y2 (GGA-PBE, optimized geometry); crystal system = triclinic; size of the total moment = 0.0 μB per formula unit
1.0
-4.702 4.813 -0.815
-4.821 0.161 -7.859
0.542 -5.193 8.823
Ac Sm Y
1 7 2
Direct
0.000 0.000 0.000
0.125 0.566 0.222
0.875 0.434 0.778
0.298 0.512 0.571
0.702 0.488 0.429
0.641 0.975 0.204
0.359 0.025 0.796
0.500 0.500 0.000
0.783 0.927 0.559
0.217 0.073 0.441


(x)
AcSm7Y2 (GGA-PBE, optimized geometry); crystal system = orthorhombic; size of the total moment = 0.0 μB per formula unit
1.0
-0.956 -5.649 1.022
8.912 -1.082 2.361
-6.621 2.226 6.114
Ac Sm Y
1 7 2
Direct
0.000 0.000 0.000
0.000 0.772 0.228
0.000 0.228 0.772
0.500 0.062 0.294
0.500 0.938 0.706
0.500 0.294 0.062
0.500 0.706 0.938
0.500 0.500 0.500
0.500 0.705 0.295
0.500 0.295 0.705


Here is how they stack up, most stable first: (w), (x).